1.
RbDy2AgTe4 | PBE | optimized geometry

Properties
- Formation energy (no corrections): -1133 meV/atom
- SG: Cmcm

a b c (Å): 4.481 7.950 15.875
angles (deg): 90.00 90.00 106.37
Sites, in units of the cell vectors:
Dy1 0.630 0.261 0.431
Dy2 0.370 0.739 0.931
Dy3 0.370 0.739 0.569
Dy4 0.630 0.261 0.069
Te1 0.264 0.528 0.103
Te2 0.555 0.110 0.250
Te3 0.000 0.000 0.500
Te4 0.000 0.000 0.000
Te5 0.264 0.528 0.397
Te6 0.736 0.472 0.897
Te7 0.736 0.472 0.603
Te8 0.445 0.890 0.750
Ag1 0.838 0.675 0.750
Ag2 0.162 0.325 0.250
Rb1 0.876 0.753 0.250
Rb2 0.124 0.247 0.750



2.
NiHg2Sb | PBE | optimized geometry

Properties
- Formation energy (no corrections): 366 meV/atom
- SG: I-4m2

a b c (Å): 5.341 5.341 5.341
angles (deg): 131.65 131.65 70.78
Sites, in units of the cell vectors:
Ni1 0.500 0.500 0.000
Hg1 0.000 0.000 0.000
Hg2 0.250 0.750 0.500
Sb1 0.750 0.250 0.500



3.
La4Tb2HoEr2 | PBE | optimized geometry

Properties
- Formation energy: 0.033 eV per atom
- SG: C2/m

a b c (Å): 5.159 8.134 8.064
angles (deg): 107.48 90.00 108.49
Sites, in units of the cell vectors:
La1 0.554 0.108 0.329
La2 0.776 0.552 0.668
La3 0.446 0.892 0.671
La4 0.224 0.448 0.332
Er1 0.668 0.335 0.000
Er2 0.332 0.665 0.000
Tb1 0.888 0.776 0.328
Tb2 0.112 0.224 0.672
Ho1 0.000 0.000 0.000